Run 1
A relaxed CaRh3S crystal, computed with PBE.

abc: 4.458 4.458 4.458
angles: 90.00 90.00 90.00
Positions (direct):
1 Ca 0.500 0.500 0.500
2 S 0.000 0.000 0.000
3 Rh 0.000 0.500 0.000
4 Rh 0.500 0.000 0.000
5 Rh 0.000 0.000 0.500

Results
Size of the total moment, μB per formula unit: 0.00
Symmetry: Pm-3m, No. 221
D(E_F), states/eV per cell: 3.68

Run 2
A relaxed CaRh3S crystal, computed with PBE.

abc: 4.799 4.799 4.799
angles: 90.00 90.00 90.00
Positions (direct):
1 Rh 0.000 0.000 0.500
2 Rh 0.500 0.000 0.000
3 Rh 0.000 0.500 0.000
4 Ca 0.000 0.000 0.000
5 S 0.500 0.500 0.500

Results
Size of the total moment, μB per formula unit: 3.16
Symmetry: Pm-3m, No. 221
D(E_F), states/eV per cell: 6.96

Energy ordering: run 1 at the bottom, the next structure 2096 meV per atom above.

Run 1
A relaxed Ca2Rh2S crystal, computed with PBE.

abc: 3.602 3.602 8.514
angles: 77.79 77.79 90.00
Positions (direct):
1 Rh 0.250 0.750 0.500
2 Rh 0.750 0.250 0.500
3 Ca 0.601 0.601 0.798
4 Ca 0.399 0.399 0.202
5 S 0.000 0.000 0.000

Results
Size of the total moment, μB per formula unit: 0.00
Symmetry: I4/mmm, No. 139
D(E_F), states/eV per cell: 4.42

Run 2
A relaxed Ca2Rh2S crystal, computed with PBE.

abc: 7.310 7.310 4.398
angles: 90.00 90.00 90.00
Positions (direct):
1 Rh 0.618 0.882 0.500
2 Rh 0.382 0.118 0.500
3 Rh 0.882 0.382 0.500
4 Rh 0.118 0.618 0.500
5 Ca 0.172 0.328 0.000
6 Ca 0.672 0.172 0.000
7 Ca 0.328 0.828 0.000
8 Ca 0.828 0.672 0.000
9 S 0.000 0.000 0.000
10 S 0.500 0.500 0.000

Results
Size of the total moment, μB per formula unit: 2.00
Symmetry: P4/mbm, No. 127
D(E_F), states/eV per cell: 13.80

Energy ordering: run 1 at the bottom, the next structure 605 meV per atom above.

Run 1
A relaxed CaScRh2S crystal, computed with PBE.

abc: 4.525 6.419 4.525
angles: 90.00 90.00 90.00
Positions (direct):
1 Ca 0.000 0.500 0.000
2 Rh 0.500 0.000 0.000
3 Rh 0.000 0.000 0.500
4 S 0.500 0.500 0.500
5 Sc 0.000 0.000 0.000

Results
Size of the total moment, μB per formula unit: 0.75
Symmetry: P4/mmm, No. 123
D(E_F), states/eV per cell: 5.96

Run 2
A relaxed CaScRh2S crystal, computed with PBE.

abc: 4.698 5.017 4.698
angles: 90.00 90.00 90.00
Positions (direct):
1 S 0.000 0.500 0.000
2 Rh 0.500 0.000 0.000
3 Rh 0.000 0.000 0.500
4 Sc 0.000 0.000 0.000
5 Ca 0.500 0.500 0.500

Results
Size of the total moment, μB per formula unit: 0.00
Symmetry: P4/mmm, No. 123
D(E_F), states/eV per cell: 7.01

Energy ordering: run 2 at the bottom, the next structure 635 meV per atom above.

Run 1
A relaxed Ca3Sb4Rh4 crystal, computed with PBE.

abc: 4.392 7.465 8.389
angles: 116.42 105.18 90.00
Positions (direct):
1 Ca 0.874 0.874 0.748
2 Ca 0.126 0.126 0.252
3 Ca 0.000 0.500 0.000
4 Rh 0.322 0.123 0.643
5 Rh 0.322 0.520 0.643
6 Rh 0.678 0.480 0.357
7 Rh 0.678 0.877 0.357
8 Sb 0.500 0.200 0.000
9 Sb 0.500 0.800 0.000
10 Sb 0.219 0.719 0.438
11 Sb 0.781 0.281 0.562

Results
Size of the total moment, μB per formula unit: 0.00
Symmetry: Immm, No. 71
D(E_F), states/eV per cell: 8.28

Run 2
A relaxed Ca3Sb4Rh4 crystal, computed with PBE.

abc: 6.974 6.974 6.974
angles: 109.47 109.47 109.47
Positions (direct):
1 Ca 0.500 0.000 0.500
2 Ca 0.500 0.500 0.000
3 Ca 0.000 0.500 0.500
4 Rh 0.273 0.000 0.000
5 Rh 0.727 0.727 0.727
6 Rh 0.000 0.000 0.273
7 Rh 0.000 0.273 0.000
8 Sb 0.000 0.000 0.631
9 Sb 0.631 0.000 0.000
10 Sb 0.000 0.631 0.000
11 Sb 0.369 0.369 0.369

Results
Size of the total moment, μB per formula unit: 0.00
Symmetry: I-43m, No. 217
D(E_F), states/eV per cell: 11.27

Energy ordering: run 1 at the bottom, the next structure 59 meV per atom above.

Run 1
A relaxed Ca4SbRh crystal, computed with PBE.

abc: 6.187 6.187 6.187
angles: 60.00 60.00 60.00
Positions (direct):
1 Ca 0.376 0.376 0.873
2 Ca 0.376 0.376 0.376
3 Ca 0.376 0.873 0.376
4 Ca 0.873 0.376 0.376
5 Rh 0.750 0.750 0.750
6 Sb 0.000 0.000 0.000

Results
Size of the total moment, μB per formula unit: 0.00
Symmetry: F-43m, No. 216
D(E_F), states/eV per cell: 2.75

Run 2
A relaxed Ca4SbRh crystal, computed with PBE.

abc: 6.382 8.375 8.375
angles: 111.80 105.59 105.59
Positions (direct):
1 Ca 0.308 0.780 0.657
2 Ca 0.421 0.715 0.055
3 Ca 0.079 0.945 0.285
4 Ca 0.808 0.657 0.780
5 Ca 0.692 0.220 0.343
6 Ca 0.192 0.343 0.220
7 Ca 0.921 0.055 0.715
8 Ca 0.579 0.285 0.945
9 Rh 0.250 0.998 0.002
10 Rh 0.750 0.002 0.998
11 Sb 0.250 0.366 0.634
12 Sb 0.750 0.634 0.366

Results
Size of the total moment, μB per formula unit: 0.00
Symmetry: C2/c, No. 15
D(E_F), states/eV per cell: 5.73

Energy ordering: run 2 at the bottom, the next structure 937 meV per atom above.

Run 1
A relaxed Ca3Sb3Rh2 crystal, computed with PBE.

abc: 4.597 6.010 15.156
angles: 90.00 90.00 112.49
Positions (direct):
1 Ca 0.922 0.843 0.111
2 Ca 0.922 0.843 0.389
3 Ca 0.358 0.716 0.750
4 Ca 0.078 0.157 0.611
5 Ca 0.078 0.157 0.889
6 Ca 0.642 0.284 0.250
7 Sb 0.367 0.734 0.964
8 Sb 0.342 0.684 0.250
9 Sb 0.633 0.266 0.464
10 Sb 0.658 0.316 0.750
11 Sb 0.367 0.734 0.536
12 Sb 0.633 0.266 0.036
13 Rh 0.207 0.415 0.400
14 Rh 0.207 0.415 0.100
15 Rh 0.793 0.585 0.900
16 Rh 0.793 0.585 0.600

Results
Size of the total moment, μB per formula unit: 0.00
Symmetry: Cmcm, No. 63
D(E_F), states/eV per cell: 7.78

Run 2
A relaxed Ca3Sb3Rh2 crystal, computed with PBE.

abc: 5.991 8.640 15.178
angles: 90.00 90.00 90.00
Positions (direct):
1 Rh 0.379 0.405 0.899
2 Rh 0.379 0.405 0.601
3 Rh 0.879 0.095 0.399
4 Rh 0.879 0.095 0.101
5 Rh 0.121 0.905 0.601
6 Rh 0.121 0.905 0.899
7 Rh 0.621 0.595 0.101
8 Rh 0.621 0.595 0.399
9 Sb 0.121 0.187 0.540
10 Sb 0.379 0.687 0.540
11 Sb 0.604 0.331 0.750
12 Sb 0.621 0.313 0.040
13 Sb 0.379 0.687 0.960
14 Sb 0.896 0.831 0.750
15 Sb 0.104 0.169 0.250
16 Sb 0.879 0.813 0.040
17 Sb 0.879 0.813 0.460
18 Sb 0.121 0.187 0.960
19 Sb 0.621 0.313 0.460
20 Sb 0.396 0.669 0.250
21 Ca 0.120 0.461 0.389
22 Ca 0.880 0.539 0.889
23 Ca 0.120 0.181 0.750
24 Ca 0.120 0.461 0.111
25 Ca 0.880 0.539 0.611
26 Ca 0.620 0.039 0.611
27 Ca 0.880 0.819 0.250
28 Ca 0.620 0.319 0.250
29 Ca 0.380 0.961 0.111
30 Ca 0.380 0.681 0.750
31 Ca 0.620 0.039 0.889
32 Ca 0.380 0.961 0.389

Results
Size of the total moment, μB per formula unit: 0.00
Symmetry: Pnma, No. 62
D(E_F), states/eV per cell: 22.53

Energy ordering: run 1 at the bottom, the next structure 48 meV per atom above.

Run 1
A relaxed CaSb2TeRh crystal, computed with PBE.

abc: 5.060 5.060 5.803
angles: 90.00 90.00 90.00
Positions (direct):
1 Sb 0.500 0.000 0.000
2 Sb 0.000 0.500 0.000
3 Ca 0.500 0.500 0.500
4 Rh 0.000 0.000 0.000
5 Te 0.000 0.000 0.500

Results
Size of the total moment, μB per formula unit: 0.00
Symmetry: P4/mmm, No. 123
D(E_F), states/eV per cell: 4.87

Run 2
A relaxed CaSb2TeRh crystal, computed with PBE.

abc: 5.637 5.637 5.597
angles: 90.00 90.00 90.00
Positions (direct):
1 Ca 0.000 0.000 0.000
2 Rh 0.500 0.500 0.500
3 Te 0.000 0.000 0.500
4 Sb 0.500 0.000 0.000
5 Sb 0.000 0.500 0.000

Results
Size of the total moment, μB per formula unit: 1.21
Symmetry: P4/mmm, No. 123
D(E_F), states/eV per cell: 8.67

Energy ordering: run 1 at the bottom, the next structure 1272 meV per atom above.

Run 1
A relaxed CaSbTe2Rh crystal, computed with PBE.

abc: 5.675 5.675 5.669
angles: 90.00 90.00 90.00
Positions (direct):
1 Rh 0.500 0.500 0.500
2 Te 0.000 0.500 0.000
3 Te 0.500 0.000 0.000
4 Sb 0.000 0.000 0.500
5 Ca 0.000 0.000 0.000

Results
Size of the total moment, μB per formula unit: 1.30
Symmetry: P4/mmm, No. 123
D(E_F), states/eV per cell: 8.48

Run 2
A relaxed CaSbTe2Rh crystal, computed with PBE.

abc: 5.544 5.544 4.883
angles: 90.00 90.00 90.00
Positions (direct):
1 Rh 0.000 0.000 0.000
2 Te 0.000 0.500 0.000
3 Te 0.500 0.000 0.000
4 Ca 0.500 0.500 0.500
5 Sb 0.000 0.000 0.500

Results
Size of the total moment, μB per formula unit: 0.00
Symmetry: P4/mmm, No. 123
D(E_F), states/eV per cell: 3.16

Energy ordering: run 2 at the bottom, the next structure 1219 meV per atom above.

Run 1
A relaxed Ca2ScRh crystal, computed with PBE.

abc: 3.485 3.402 9.699
angles: 69.37 90.00 90.00
Positions (direct):
1 Ca 0.000 0.029 0.970
2 Ca 0.500 0.181 0.322
3 Sc 0.500 0.828 0.671
4 Rh 0.000 0.463 0.537

Results
Size of the total moment, μB per formula unit: 0.00
Symmetry: Pm, No. 6
D(E_F), states/eV per cell: 4.48

Run 2
A relaxed Ca2ScRh crystal, computed with PBE.

abc: 5.613 5.613 3.403
angles: 90.00 90.00 114.56
Positions (direct):
1 Rh 0.500 0.000 0.500
2 Ca 0.500 0.500 0.000
3 Ca 0.000 0.000 0.000
4 Sc 0.000 0.500 0.500

Results
Size of the total moment, μB per formula unit: 0.00
Symmetry: Cmmm, No. 65
D(E_F), states/eV per cell: 3.92

Energy ordering: run 1 at the bottom, the next structure 474 meV per atom above.

Run 1
A relaxed Ca2ScRh crystal, computed with PBE.

abc: 3.381 3.380 9.078
angles: 90.00 90.00 90.00
Positions (direct):
1 Ca 0.000 0.000 0.059
2 Ca 0.000 0.000 0.441
3 Sc 0.500 0.500 0.750
4 Rh 0.500 0.500 0.250

Results
Size of the total moment, μB per formula unit: 0.31
Symmetry: P4/mmm, No. 123
D(E_F), states/eV per cell: 3.79

Run 2
A relaxed Ca2ScRh crystal, computed with PBE.

abc: 4.442 3.507 6.833
angles: 69.23 90.00 90.00
Positions (direct):
1 Rh 0.500 0.250 0.250
2 Sc 0.500 0.750 0.750
3 Ca 0.000 0.444 0.469
4 Ca 0.000 0.056 0.031

Results
Size of the total moment, μB per formula unit: 0.00
Symmetry: P2/m, No. 10
D(E_F), states/eV per cell: 4.15

Energy ordering: run 1 at the bottom, the next structure 101 meV per atom above.

Run 1
A relaxed Ca2ScRh crystal, computed with PBE.

abc: 10.406 10.406 10.406
angles: 19.13 19.13 19.13
Positions (direct):
1 Ca 0.982 0.982 0.982
2 Ca 0.518 0.518 0.518
3 Sc 0.750 0.750 0.750
4 Rh 0.250 0.250 0.250

Results
Size of the total moment, μB per formula unit: 0.83
Symmetry: R-3m, No. 166
D(E_F), states/eV per cell: 2.22

Run 2
A relaxed Ca2ScRh crystal, computed with PBE.

abc: 5.984 5.984 5.984
angles: 137.88 137.88 61.09
Positions (direct):
1 Ca 0.500 0.500 0.000
2 Ca 0.000 0.000 0.000
3 Sc 0.750 0.250 0.500
4 Rh 0.250 0.750 0.500

Results
Size of the total moment, μB per formula unit: 0.00
Symmetry: I4/mmm, No. 139
D(E_F), states/eV per cell: 4.04

Energy ordering: run 2 at the bottom, the next structure 27 meV per atom above.

Run 1
A relaxed CaSc3Rh crystal, computed with PBE.

abc: 4.789 4.789 4.789
angles: 90.00 90.00 90.00
Positions (direct):
1 Sc 0.000 0.500 0.000
2 Sc 0.500 0.000 0.000
3 Sc 0.000 0.000 0.500
4 Ca 0.000 0.000 0.000
5 Rh 0.500 0.500 0.500

Results
Size of the total moment, μB per formula unit: 0.92
Symmetry: Pm-3m, No. 221
D(E_F), states/eV per cell: 4.43

Run 2
A relaxed CaSc3Rh crystal, computed with PBE.

abc: 5.122 5.122 5.122
angles: 90.00 90.00 90.00
Positions (direct):
1 Sc 0.000 0.500 0.000
2 Sc 0.500 0.000 0.000
3 Sc 0.000 0.000 0.500
4 Ca 0.500 0.500 0.500
5 Rh 0.000 0.000 0.000

Results
Size of the total moment, μB per formula unit: 0.00
Symmetry: Pm-3m, No. 221
D(E_F), states/eV per cell: 8.92

Energy ordering: run 2 at the bottom, the next structure 1607 meV per atom above.